## ScTePd3 (GGA-PBE)

Data for ScTePd3 after structural relaxation.

Cell lengths 4.818, 4.818, 4.818 Å; angles 90.00, 90.00, 90.00 degrees
Fractional positions:
Sc1 0.000 0.000 0.000
Te1 0.500 0.500 0.500
Pd1 0.000 0.000 0.500
Pd2 0.000 0.500 0.000
Pd3 0.500 0.000 0.000

crystal system: cubic
polymorph energy (0 for the lowest one): 0.838 eV/atom
formation energy from raw total energies: 0.2331 eV per atom

***

## NpSnAu (GGA-PBE)

Data for NpSnAu after structural relaxation.

Cell lengths 5.005, 5.005, 3.144 Å; angles 90.00, 90.00, 120.00 degrees
Fractional positions:
Np1 0.000 0.000 0.000
Sn1 0.667 0.333 0.500
Au1 0.333 0.667 0.500

calculated formation energy: -0.512 eV/f.u.
crystal system: hexagonal

***

## Mn2TcRh2 (GGA-PBE)

Data for Mn2TcRh2 after structural relaxation.

Cell lengths 7.131, 7.131, 2.794 Å; angles 90.00, 90.00, 90.00 degrees
Fractional positions:
Mn1 0.167 0.333 0.000
Mn2 0.333 0.833 0.000
Mn3 0.667 0.167 0.000
Mn4 0.833 0.667 0.000
Tc1 0.000 0.000 0.500
Tc2 0.500 0.500 0.500
Rh1 0.132 0.632 0.500
Rh2 0.368 0.132 0.500
Rh3 0.632 0.868 0.500
Rh4 0.868 0.368 0.500

calculated formation energy: 0.909 eV/f.u.
crystal system: tetragonal

***

## Cs2YPb3F12 (GGA-PBE)

Data for Cs2YPb3F12 after structural relaxation.

Cell lengths 8.652, 8.652, 8.652 Å; angles 59.07, 59.07, 59.07 degrees
Fractional positions:
Cs1 0.104 0.104 0.104
Cs2 0.896 0.896 0.896
Y1 0.500 0.500 0.500
Pb1 0.000 0.500 0.500
Pb2 0.500 0.000 0.500
Pb3 0.500 0.500 0.000
F1 0.163 0.163 0.585
F2 0.163 0.585 0.163
F3 0.198 0.564 0.564
F4 0.415 0.837 0.837
F5 0.436 0.436 0.802
F6 0.436 0.802 0.436
F7 0.564 0.198 0.564
F8 0.564 0.564 0.198
F9 0.585 0.163 0.163
F10 0.802 0.436 0.436
F11 0.837 0.415 0.837
F12 0.837 0.837 0.415

crystal system: trigonal
formation energy from raw total energies: -2.7532 eV per atom

***

## Ru2RhCl (GGA-PBE)

Data for Ru2RhCl after structural relaxation.

Cell lengths 4.599, 4.599, 5.107 Å; angles 105.25, 105.25, 35.27 degrees
Fractional positions:
Ru1 0.236 0.236 0.274
Ru2 0.764 0.764 0.726
Rh1 0.000 0.000 0.500
Cl1 0.500 0.500 0.000

crystal system: monoclinic
polymorph energy (0 for the lowest one): 0.321 eV/atom
formation energy from raw total energies: 0.6672 eV per atom

***

## CuGeS2 (GGA-PBE)

Data for CuGeS2 after structural relaxation.

Cell lengths 6.828, 6.828, 6.828 Å; angles 132.94, 132.94, 68.74 degrees
Fractional positions:
Cu1 0.000 0.000 0.000
Cu2 0.750 0.250 0.500
Ge1 0.250 0.750 0.500
Ge2 0.500 0.500 0.000
S1 0.104 0.625 0.979
S2 0.375 0.354 0.479
S3 0.646 0.125 0.021
S4 0.875 0.896 0.521

crystal system: tetragonal
formation energy from raw total energies: -0.1481 eV per atom

***

## PrGa4Cu2Ni (GGA-PBE)

Data for PrGa4Cu2Ni after structural relaxation.

Cell lengths 9.212, 9.212, 9.212 Å; angles 26.17, 26.17, 26.17 degrees
Fractional positions:
Pr1 0.000 0.000 0.000
Ga1 0.133 0.133 0.133
Ga2 0.405 0.405 0.405
Ga3 0.595 0.595 0.595
Ga4 0.867 0.867 0.867
Cu1 0.235 0.235 0.235
Cu2 0.765 0.765 0.765
Ni1 0.500 0.500 0.500

calculated formation energy: -2.771 eV/f.u.
crystal system: trigonal

***

## Cs2NaFeAg (GGA-PBE)

Data for Cs2NaFeAg after structural relaxation.

Cell lengths 7.005, 7.005, 5.730 Å; angles 90.00, 90.00, 90.00 degrees
Fractional positions:
Cs1 0.000 0.500 0.000
Cs2 0.500 0.000 0.000
Na1 0.000 0.000 0.500
Fe1 0.500 0.500 0.500
Ag1 0.000 0.000 0.000

calculated formation energy: 3.903 eV/f.u.
crystal system: tetragonal

***

## Nd6CdOs2 (GGA-PBE)

Data for Nd6CdOs2 after structural relaxation.

Cell lengths 8.777, 8.777, 8.777 Å; angles 112.45, 111.09, 104.97 degrees
Fractional positions:
Nd1 0.035 0.240 0.795
Nd2 0.185 0.279 0.464
Nd3 0.185 0.721 0.906
Nd4 0.327 0.014 0.686
Nd5 0.327 0.641 0.314
Nd6 0.445 0.240 0.205
Nd7 0.555 0.760 0.795
Nd8 0.673 0.359 0.686
Nd9 0.673 0.986 0.314
Nd10 0.815 0.279 0.094
Nd11 0.815 0.721 0.536
Nd12 0.965 0.760 0.205
Cd1 0.000 0.000 0.000
Cd2 0.500 0.500 0.000
Os1 0.116 0.616 0.500
Os2 0.328 0.000 0.328
Os3 0.672 0.000 0.672
Os4 0.884 0.384 0.500

calculated formation energy: -1.311 eV/f.u.
crystal system: orthorhombic
polymorph energy (0 for the lowest one): 0.000 eV/atom

***

## Y2SbHRu (GGA-PBE)

Data for Y2SbHRu after structural relaxation.

Cell lengths 4.952, 4.952, 3.845 Å; angles 90.00, 90.00, 90.00 degrees
Fractional positions:
Y1 0.000 0.500 0.000
Y2 0.500 0.000 0.000
Sb1 0.000 0.000 0.500
H1 0.500 0.500 0.000
Ru1 0.500 0.500 0.500

crystal system: tetragonal
total energy: -6.492 eV/atom

***

## ZnReNi (GGA-PBE)

Data for ZnReNi after structural relaxation.

Cell lengths 4.226, 4.226, 2.551 Å; angles 90.00, 90.00, 120.00 degrees
Fractional positions:
Zn1 0.000 0.000 0.000
Re1 0.667 0.333 0.500
Ni1 0.333 0.667 0.000

calculated formation energy: 0.634 eV/f.u.
crystal system: hexagonal
polymorph energy (0 for the lowest one): 0.212 eV/atom

***

## NaAc2Ni (GGA-PBE)

Data for NaAc2Ni after structural relaxation.

Cell lengths 3.723, 3.723, 9.730 Å; angles 90.00, 90.00, 90.00 degrees
Fractional positions:
Na1 0.000 0.000 0.000
Ac1 0.500 0.500 0.320
Ac2 0.500 0.500 0.680
Ni1 0.000 0.000 0.500

calculated formation energy: -0.052 eV/f.u.
crystal system: tetragonal
polymorph energy (0 for the lowest one): 0.073 eV/atom

***

## PrHo2Al3 (GGA-PBE)

Data for PrHo2Al3 after structural relaxation.

Cell lengths 3.623, 3.623, 11.035 Å; angles 90.00, 90.00, 90.00 degrees
Fractional positions:
Pr1 0.000 0.000 0.000
Ho1 0.000 0.000 0.340
Ho2 0.000 0.000 0.660
Al1 0.500 0.500 0.182
Al2 0.500 0.500 0.500
Al3 0.500 0.500 0.818

calculated formation energy: -2.271 eV/f.u.
crystal system: tetragonal
polymorph energy (0 for the lowest one): 0.000 eV/atom

***

## SrSb4Rh6 (GGA-PBE)

Data for SrSb4Rh6 after structural relaxation.

Cell lengths 6.833, 6.833, 6.833 Å; angles 119.36, 119.36, 91.11 degrees
Fractional positions:
Sr1 0.000 0.000 0.000
Sb1 0.126 0.532 0.000
Sb2 0.468 0.468 0.594
Sb3 0.532 0.126 0.000
Sb4 0.874 0.874 0.406
Rh1 0.000 0.500 0.500
Rh2 0.235 0.235 0.676
Rh3 0.441 0.765 0.000
Rh4 0.500 0.000 0.500
Rh5 0.559 0.559 0.324
Rh6 0.765 0.441 0.000

crystal system: tetragonal
formation energy from raw total energies: -0.3505 eV per atom

***

## K2Zn2AgH6 (GGA-PBE)

Data for K2Zn2AgH6 after structural relaxation.

Cell lengths 5.741, 5.741, 6.393 Å; angles 112.78, 112.78, 56.91 degrees
Fractional positions:
K1 0.212 0.212 0.180
K2 0.788 0.788 0.820
Zn1 0.447 0.447 0.777
Zn2 0.553 0.553 0.223
Ag1 0.000 0.000 0.500
H1 0.212 0.738 0.253
H2 0.262 0.788 0.747
H3 0.264 0.264 0.649
H4 0.736 0.736 0.351
H5 0.738 0.212 0.253
H6 0.788 0.262 0.747

crystal system: monoclinic
total energy: -2.539 eV/atom

***

## CsV2CoS8 (GGA-PBE)

Data for CsV2CoS8 after structural relaxation.

Cell lengths 10.004, 10.004, 10.004 Å; angles 35.41, 35.41, 35.41 degrees
Fractional positions:
Cs1 0.000 0.000 0.000
V1 0.233 0.233 0.233
V2 0.767 0.767 0.767
Co1 0.500 0.500 0.500
S1 0.147 0.760 0.455
S2 0.240 0.545 0.853
S3 0.308 0.308 0.308
S4 0.455 0.147 0.760
S5 0.545 0.853 0.240
S6 0.692 0.692 0.692
S7 0.760 0.455 0.147
S8 0.853 0.240 0.545

crystal system: trigonal
formation energy from raw total energies: -0.4377 eV per atom

***

## AgBi2H2 (GGA-PBE)

Data for AgBi2H2 after structural relaxation.

Cell lengths 7.260, 7.260, 3.327 Å; angles 90.00, 90.00, 90.00 degrees
Fractional positions:
Ag1 0.000 0.000 0.000
Ag2 0.500 0.500 0.000
Bi1 0.150 0.350 0.500
Bi2 0.350 0.850 0.500
Bi3 0.650 0.150 0.500
Bi4 0.850 0.650 0.500
H1 0.118 0.618 0.000
H2 0.382 0.118 0.000
H3 0.618 0.882 0.000
H4 0.882 0.382 0.000

crystal system: tetragonal
polymorph energy (0 for the lowest one): 0.410 eV/atom

***

## AcLa2ThAs4 (GGA-PBE)

Data for AcLa2ThAs4 after structural relaxation.

Cell lengths 7.579, 4.380, 7.602 Å; angles 90.00, 109.39, 90.00 degrees
Fractional positions:
Ac1 0.000 0.000 0.000
La1 0.500 0.000 0.500
La2 0.500 0.500 0.000
Th1 0.000 0.500 0.500
As1 0.246 0.000 0.739
As2 0.252 0.500 0.261
As3 0.748 0.500 0.739
As4 0.754 0.000 0.261

calculated formation energy: -12.129 eV/f.u.
crystal system: monoclinic

***

## ZrCu2Pt (GGA-PBE)

Data for ZrCu2Pt after structural relaxation.

Cell lengths 9.201, 9.201, 9.201 Å; angles 17.64, 17.64, 17.64 degrees
Fractional positions:
Zr1 0.000 0.000 0.000
Cu1 0.245 0.245 0.245
Cu2 0.755 0.755 0.755
Pt1 0.500 0.500 0.500

calculated formation energy: -0.023 eV/f.u.
crystal system: trigonal

***

## MgBe2P (GGA-PBE)

Data for MgBe2P after structural relaxation.

Cell lengths 5.284, 5.284, 2.743 Å; angles 103.24, 103.24, 125.23 degrees
Fractional positions:
Mg1 0.000 0.000 0.000
Be1 0.000 0.500 0.000
Be2 0.500 0.000 0.000
P1 0.500 0.500 0.000

calculated formation energy: 1.520 eV/f.u.
crystal system: monoclinic
polymorph energy (0 for the lowest one): 0.391 eV/atom

***

## Sr4Te2PCl (GGA-PBE)

Data for Sr4Te2PCl after structural relaxation.

Cell lengths 7.887, 4.592, 7.935 Å; angles 90.00, 108.76, 90.00 degrees
Fractional positions:
Sr1 0.229 0.000 0.226
Sr2 0.234 0.500 0.762
Sr3 0.766 0.500 0.238
Sr4 0.771 0.000 0.774
Te1 0.000 0.000 0.500
Te2 0.500 0.500 0.500
P1 0.000 0.500 0.000
Cl1 0.500 0.000 0.000

crystal system: monoclinic
formation energy from raw total energies: -1.6693 eV per atom

***

## HoGaCuHg (GGA-PBE)

Data for HoGaCuHg after structural relaxation.

Cell lengths 4.785, 4.785, 4.785 Å; angles 60.00, 60.00, 60.00 degrees
Fractional positions:
Ho1 0.000 0.000 0.000
Ga1 0.750 0.750 0.750
Cu1 0.250 0.250 0.250
Hg1 0.500 0.500 0.500

calculated formation energy: -0.965 eV/f.u.
crystal system: cubic

***

## Na5Zn2Se5 (GGA-PBE)

Data for Na5Zn2Se5 after structural relaxation.

Cell lengths 7.236, 7.236, 11.369 Å; angles 106.66, 106.66, 30.67 degrees
Fractional positions:
Na1 0.000 0.000 0.000
Na2 0.164 0.164 0.561
Na3 0.263 0.263 0.865
Na4 0.737 0.737 0.135
Na5 0.836 0.836 0.439
Zn1 0.457 0.457 0.705
Zn2 0.543 0.543 0.295
Se1 0.160 0.160 0.298
Se2 0.393 0.393 0.118
Se3 0.500 0.500 0.500
Se4 0.607 0.607 0.882
Se5 0.840 0.840 0.702

crystal system: monoclinic
formation energy from raw total energies: -0.8572 eV per atom

***

## Pa2N3 (GGA-PBE)

Data for Pa2N3 after structural relaxation.

Cell lengths 4.328, 4.328, 4.328 Å; angles 83.09, 83.09, 83.09 degrees
Fractional positions:
Pa1 0.205 0.205 0.205
Pa2 0.795 0.795 0.795
N1 0.000 0.290 0.710
N2 0.290 0.710 0.000
N3 0.710 0.000 0.290

crystal system: trigonal
formation energy from raw total energies: -1.3686 eV per atom

***

## Tb4Gd2H (GGA-PBE)

Data for Tb4Gd2H after structural relaxation.

Cell lengths 9.244, 9.244, 9.244 Å; angles 149.59, 149.59, 43.55 degrees
Fractional positions:
Tb1 0.000 0.500 0.500
Tb2 0.150 0.150 0.000
Tb3 0.500 0.000 0.500
Tb4 0.850 0.850 0.000
Gd1 0.352 0.352 0.000
Gd2 0.648 0.648 0.000
H1 0.000 0.000 0.000

crystal system: tetragonal
total energy: -7.088 eV/atom